# TaVBiO6 | the Alexandria database | GGA+U | relaxed
data_TaVBiO6
_symmetry_space_group_name_H-M 'P 42 n m'
_symmetry_Int_Tables_number 102
_symmetry_space_group_name_Hall 'P 4n -2n'
_cell_length_a 4.894
_cell_length_b 4.894
_cell_length_c 9.694
_cell_angle_alpha 90.00
_cell_angle_beta 90.00
_cell_angle_gamma 90.00
loop_
_atom_site_label
_atom_site_type_symbol
_atom_site_fract_x
_atom_site_fract_y
_atom_site_fract_z
Ta1 Ta 0.000 0.000 0.000
V1 V 0.000 0.000 0.332
Bi1 Bi 0.000 0.000 0.661
O1 O 0.170 0.170 0.170
O2 O 0.213 0.213 0.481
O3 O 0.223 0.223 0.864
# Spin magnetization: 0.110 μB/atom
# Calculated total energy: -143.06 eV for the cell shown